! CaMn2AgHg PBE relaxed; values from VASP
&SYSTEM
  ibrav = 0, nat = 5, ntyp = 4
/
ATOMIC_SPECIES
Ca 40.08 Ca.upf
Mn 54.94 Mn.upf
Hg 200.59 Hg.upf
Ag 107.87 Ag.upf
CELL_PARAMETERS angstrom
-2.3814 -4.4184 0.8738
1.4508 0.3015 5.4784
-4.3116 2.5222 1.0030
ATOMIC_POSITIONS angstrom
Ca 0.7254 0.1508 2.7392
Mn -2.1558 1.2611 0.5015
Mn -1.1907 -2.2092 0.4369
Hg 0.0000 0.0000 0.0000
Ag -2.6211 -0.7973 3.6776
! - electronic total energy (eV per atom) = -3.935
! - SG = No. 123
! - D(E_F) (states/eV/atom) = 0.67
! - V (Å³/cell) = 147.31
! - ΔH_f (0 K) (eV/atom) = 0.764